First-principles (PBE) data for a relaxed structure of NiI2BrN, as listed in Alexandria.

Electronic total energy, eV per formula unit: -10.658
Volume, Å³ per cell: 145
Spin magnetization, μB/atom: 0.004
DOS(E_F), states/eV/atom: 2.52
Energy relative to the elements, uncorrected, eV per atom: 1.644

Cell: 6.279 6.279 3.672 Å, 90.00 90.00 90.00°
Space group P4/mmm (No. 123)
Symmetry-distinct sites (fractional):
Ni 0.000 0.000 0.000 x1
I 0.000 0.500 0.500 x2
Br 0.500 0.500 0.500 x1
N 0.500 0.500 0.000 x1